Record 1
## La6Sm2Zn (PBE)

Data for crystalline La6Sm2Zn at its relaxed geometry.

The energy above the most stable polymorph in this dataset comes out at 0.0355 eV/atom. The energy of formation is -0.010 eV/atom.

It has space group Pnnm (No. 58), with a = 10.548 Å, b = 10.570 Å, c = 5.535 Å, α = 90.00°, β = 90.00° and γ = 90.00°. The asymmetric unit holds La at (0.040, 0.191, 0.000), La at (0.123, 0.621, 0.500), La at (0.191, 0.957, 0.500), Sm at (0.217, 0.280, 0.500) and Zn at (0.000, 0.500, 0.000).

---

Record 2
## La2SmZn2 (PBE)

Data for crystalline La2SmZn2 at its relaxed geometry.

The energy above the most stable polymorph in this dataset comes out at 0.0000 eV/atom. The energy of formation is -0.231 eV/atom.

It has space group P2_1/m (No. 11), with a = 3.752 Å, b = 5.285 Å, c = 14.110 Å, α = 90.00°, β = 97.64° and γ = 90.00°. The asymmetric unit holds La at (0.044, 0.250, 0.088), La at (0.230, 0.250, 0.462), Sm at (0.143, 0.750, 0.283), Zn at (0.362, 0.750, 0.724) and Zn at (0.447, 0.250, 0.894).

---

Record 3
## La6SmZn (PBE)

Data for crystalline La6SmZn at its relaxed geometry.

The energy of formation is 0.146 eV/atom.

It has space group C2/m (No. 12), with a = 7.220 Å, b = 12.366 Å, c = 7.136 Å, α = 90.00°, β = 120.07° and γ = 90.00°. The asymmetric unit holds La at (0.209, 0.218, 0.237), La at (0.228, 0.000, 0.765), Sm at (0.000, 0.500, 0.500) and Zn at (0.000, 0.000, 0.000).

---

Record 4
## La2Sm3Zn2 (PBE)

Data for crystalline La2Sm3Zn2 at its relaxed geometry.

The energy above the most stable polymorph in this dataset comes out at 0.0000 eV/atom. The energy of formation is -0.131 eV/atom.

It has space group Cmmm (No. 65), with a = 3.712 Å, b = 30.224 Å, c = 3.670 Å, α = 90.00°, β = 90.00° and γ = 90.00°. The asymmetric unit holds La at (0.000, 0.204, 0.000), Sm at (0.000, 0.084, 0.000), Sm at (0.000, 0.500, 0.500) and Zn at (0.000, 0.361, 0.500).

---

For the records above, the corresponding total DFT energy (no corrections) values read -4.485; -3.655; -4.299; -3.925 eV per atom.